## RbCoAsO (GGA+U)

Data for a relaxed structure of RbCoAsO.

Computed properties:
- space-group type = Pmc2_1, No. 26

Cell and atoms, written as POSCAR:
```
RbCoAsO
1.0
3.2264 0.0000 0.0000
0.0000 6.9434 0.0000
0.0000 0.0000 7.7902
Rb Co As O
2 2 2 2
Direct
0.0000 0.1449 0.0000 Rb
0.0000 0.8551 0.5000 Rb
0.5000 0.3324 0.3789 Co
0.5000 0.6676 0.8789 Co
0.5000 0.4094 0.6745 As
0.5000 0.5906 0.1745 As
0.0000 0.2062 0.3484 O
0.0000 0.7938 0.8484 O
```

---

## RbCoAsO (GGA+U)

Data for a relaxed structure of RbCoAsO.

Computed properties:
- space-group type = P4/nmm, No. 129

Cell and atoms, written as POSCAR:
```
RbCoAsO
1.0
3.7537 0.0000 0.0000
0.0000 3.7537 0.0000
0.0000 0.0000 11.6253
Rb Co As O
2 2 2 2
Direct
0.2500 0.2500 0.1644 Rb
0.7500 0.7500 0.8356 Rb
0.2500 0.7500 0.5000 Co
0.7500 0.2500 0.5000 Co
0.2500 0.2500 0.6111 As
0.7500 0.7500 0.3889 As
0.2500 0.7500 0.0000 O
0.7500 0.2500 0.0000 O
```

---

## CoSbAsO (GGA+U)

Data for a relaxed structure of CoSbAsO.

Computed properties:
- space-group type = P4/nmm, No. 129

Cell and atoms, written as POSCAR:
```
CoSbAsO
1.0
3.7217 0.0000 0.0000
0.0000 3.7217 0.0000
0.0000 0.0000 9.3465
Co Sb As O
2 2 2 2
Direct
0.2500 0.7500 0.0000 Co
0.7500 0.2500 0.0000 Co
0.2500 0.2500 0.3634 Sb
0.7500 0.7500 0.6366 Sb
0.2500 0.2500 0.8238 As
0.7500 0.7500 0.1762 As
0.2500 0.7500 0.5000 O
0.7500 0.2500 0.5000 O
```

---

Number 1: raw total energy -4.192 eV per atom, ΔE to the lowest computed polymorph 0.0 kJ per mole of atoms, spin magnetization 0.12 μB/f.u.. Number 2: raw total energy -3.868 eV per atom, ΔE to the lowest computed polymorph 31.3 kJ per mole of atoms, spin magnetization 0.01 μB/f.u.. Number 3: raw total energy -4.973 eV per atom, ΔE to the lowest computed polymorph 3.4 kJ per mole of atoms, spin magnetization 2.11 μB/f.u..